# GGA-PBE Sr2BeAgCl, optimized geometry
# Total DFT energy (no corrections) in eV per cell: -11.60
# DOS at the Fermi energy in states/eV per cell: 2.501
# Crystal system: tetragonal
data_Sr2BeAgCl
_symmetry_space_group_name_H-M 'P 4/m m m'
_symmetry_Int_Tables_number 123
_symmetry_space_group_name_Hall '-P 4 2'
_cell_length_a 5.9735
_cell_length_b 5.9735
_cell_length_c 4.4311
_cell_angle_alpha 90.00
_cell_angle_beta 90.00
_cell_angle_gamma 90.00
loop_
_atom_site_label
_atom_site_type_symbol
_atom_site_fract_x
_atom_site_fract_y
_atom_site_fract_z
Sr1 Sr 0.0000 0.5000 0.0000
Be1 Be 0.0000 0.0000 0.0000
Ag1 Ag 0.5000 0.5000 0.5000
Cl1 Cl 0.0000 0.0000 0.5000